Entry from Alexandria: an optimized crystal structure of CaTiAs2O7 (PBE).

The total energy is -306.49 eV/cell.

It has space group P2_1/c (No. 14), with a = 8.1941 Å, b = 8.5824 Å, c = 10.7772 Å, α = 90.00°, β = 120.27° and γ = 90.00°. The inequivalent atoms are Ca at (0.2351, 0.0773, 0.1107), Ti at (0.3015, 0.0482, 0.7079), As at (0.0286, 0.7455, 0.7344), As at (0.4392, 0.7104, 0.0322), O at (0.0376, 0.6010, 0.6297), O at (0.1034, 0.5805, 0.2014), O at (0.1739, 0.7152, 0.9217), O at (0.1873, 0.2480, 0.2758), O at (0.2577, 0.1675, 0.5686), O at (0.4513, 0.6100, 0.1834) and O at (0.4678, 0.5979, 0.6121).



Entry from Alexandria: an optimized crystal structure of CaTlAs2O (PBE).

The total energy is -18.12 eV/cell. As for the energy above the most stable polymorph in this dataset: 2.1 kJ/mol of atoms.

It has space group P4/mmm (No. 123), with a = 5.5024 Å, b = 5.5024 Å, c = 4.1600 Å, α = 90.00°, β = 90.00° and γ = 90.00°. The inequivalent atoms are Ca at (0.0000, 0.0000, 0.0000), Tl at (0.5000, 0.5000, 0.5000), As at (0.0000, 0.5000, 0.5000) and O at (0.5000, 0.5000, 0.0000).



Entry from Alexandria: an optimized crystal structure of CaTl2As2O6 (PBE).

The total energy is -124.26 eV/cell.

It has space group C2/m (No. 12), with a = 10.5167 Å, b = 6.1421 Å, c = 7.1589 Å, α = 90.00°, β = 122.15° and γ = 90.00°. The inequivalent atoms are Ca at (0.0000, 0.0000, 0.0000), Tl at (0.2120, 0.0000, 0.6879), As at (0.0449, 0.5000, 0.7011), O at (0.0309, 0.2703, 0.2574) and O at (0.2372, 0.5000, 0.8509).



Entry from Alexandria: an optimized crystal structure of CaTlAs2O6 (PBE).

The total energy is -234.62 eV/cell.

It has space group C2/c (No. 15), with a = 10.6764 Å, b = 10.2037 Å, c = 6.2792 Å, α = 90.00°, β = 106.61° and γ = 90.00°. The inequivalent atoms are Ca at (0.0000, 0.1056, 0.2500), Tl at (0.0000, 0.2959, 0.7500), As at (0.2107, 0.4192, 0.2853), O at (0.1205, 0.0667, 0.6292), O at (0.1516, 0.4884, 0.5176) and O at (0.1580, 0.2615, 0.2295).



Entry from Alexandria: an optimized crystal structure of CaTlAs2O8 (PBE).

The total energy is -137.93 eV/cell.

It has space group I-4m2 (No. 119), with a = 7.3332 Å, b = 7.3332 Å, c = 6.3585 Å, α = 90.00°, β = 90.00° and γ = 90.00°. The inequivalent atoms are Ca at (0.0000, 0.0000, 0.0000), Tl at (0.0000, 0.5000, 0.7500), As at (0.0000, 0.0000, 0.5000), As at (0.0000, 0.5000, 0.2500), O at (0.0000, 0.1797, 0.6747) and O at (0.0000, 0.3218, 0.0726).



Entry from Alexandria: an optimized crystal structure of CaTlAsO4 (PBE).

The total energy is -161.02 eV/cell.

It has space group Imma (No. 74), with a = 6.1770 Å, b = 7.3259 Å, c = 9.4735 Å, α = 90.00°, β = 90.00° and γ = 90.00°. The inequivalent atoms are Ca at (0.0000, 0.0000, 0.0000), Tl at (0.2500, 0.2500, 0.2500), As at (0.0000, 0.2500, 0.6376), O at (0.0000, 0.0554, 0.7399) and O at (0.2317, 0.2500, 0.5289).



Quick rundown of uncorrected formation energy, same order as above: -2192; 49; -1577; -1470; -1508; -1100 kJ/mol of formula units
Quick rundown of volume, same order as above: 654.58; 125.95; 391.50; 655.52; 341.93; 428.69 Å³ per cell